{"formula": "TmHfBe2Ge2", "functional": "PBE-GGA", "state": "optimized geometry", "total_magnetization_mub_per_atom": 0.00, "dft_energy_ev_per_atom": -5.784, "lattice": [[-3.453, -1.512, -0.557], [2.797, -2.128, 1.475], [-2.068, 2.142, 7.012]], "species": ["Be", "Be", "Ge", "Ge", "Hf", "Tm"], "fractional_positions": [[0.667, 0.333, 0.229], [0.333, 0.667, 0.771], [0.333, 0.667, 0.242], [0.667, 0.333, 0.758], [0.000, 0.000, 0.000], [0.000, 0.000, 0.500]]}

---

{"formula": "CsAsIrO", "functional": "PBE-GGA", "state": "optimized geometry", "total_magnetization_mub_per_atom": 0.01, "e_above_lowest_polymorph_ev_per_atom": 0.000, "dft_energy_ev_per_atom": -5.217, "lattice": [[3.784, 0.000, 0.000], [0.000, 6.510, 0.000], [0.000, 0.000, 8.007]], "species": ["As", "As", "Cs", "Cs", "Ir", "Ir", "O", "O"], "fractional_positions": [[0.000, 0.370, 0.260], [0.000, 0.630, 0.760], [0.500, 0.864, 0.095], [0.500, 0.136, 0.595], [0.000, 0.638, 0.458], [0.000, 0.362, 0.958], [0.500, 0.710, 0.442], [0.500, 0.290, 0.942]]}